(1)
VASP calculation (PBE-GGA) on crystalline LiZr2P2 at its relaxed geometry. Values from VASP.

Structure (Quantum ESPRESSO input):
```
&SYSTEM
  ibrav = 0, nat = 10, ntyp = 3
/
ATOMIC_SPECIES
Li 6.94 Li.upf
Zr 91.22 Zr.upf
P 30.97 P.upf
CELL_PARAMETERS angstrom
6.997 0.000 0.000
0.000 6.997 0.000
0.000 0.000 3.527
ATOMIC_POSITIONS crystal
Li 0.000 0.000 0.000
Li 0.500 0.500 0.000
Zr 0.153 0.347 0.500
Zr 0.347 0.847 0.500
Zr 0.653 0.153 0.500
Zr 0.847 0.653 0.500
P 0.147 0.647 0.000
P 0.353 0.147 0.000
P 0.647 0.853 0.000
P 0.853 0.353 0.000
```

Distance to the lowest polymorph of the same formula = 0 meV/atom
Energy of formation from the pure elements = -1.040 eV per atom
Magnetic moment = 0.000 Bohr magnetons per cell
DFT total energy = -7.006 eV/atom


(2)
VASP calculation (PBE-GGA) on crystalline Li2ZrP at its relaxed geometry. Values from VASP.

Structure (Quantum ESPRESSO input):
```
&SYSTEM
  ibrav = 0, nat = 8, ntyp = 3
/
ATOMIC_SPECIES
Li 6.94 Li.upf
Zr 91.22 Zr.upf
P 30.97 P.upf
CELL_PARAMETERS angstrom
4.222 0.000 0.000
0.000 4.724 0.000
0.000 0.000 6.106
ATOMIC_POSITIONS crystal
Li 0.000 0.000 0.000
Li 0.000 0.500 0.271
Li 0.500 0.000 0.771
Li 0.500 0.500 0.500
Zr 0.000 0.000 0.484
Zr 0.500 0.500 0.984
P 0.000 0.500 0.704
P 0.500 0.000 0.204
```

Energy of formation from the pure elements = -0.317 eV per atom
Magnetic moment = 0.000 Bohr magnetons per cell
DFT total energy = -4.764 eV/atom


(3)
VASP calculation (PBE-GGA) on crystalline Li2ZrP at its relaxed geometry. Values from VASP.

Structure (Quantum ESPRESSO input):
```
&SYSTEM
  ibrav = 0, nat = 8, ntyp = 3
/
ATOMIC_SPECIES
Li 6.94 Li.upf
Zr 91.22 Zr.upf
P 30.97 P.upf
CELL_PARAMETERS angstrom
7.607 0.000 0.000
0.000 2.867 0.000
-0.583 0.000 6.234
ATOMIC_POSITIONS crystal
Li 0.000 0.000 0.000
Li 0.247 0.000 0.795
Li 0.500 0.500 0.000
Li 0.747 0.500 0.795
Zr 0.268 0.500 0.351
Zr 0.768 0.000 0.351
P 0.011 0.500 0.605
P 0.511 0.000 0.605
```

Energy of formation from the pure elements = -0.286 eV per atom
Magnetic moment = 0.000 Bohr magnetons per cell
DFT total energy = -4.732 eV/atom


(4)
VASP calculation (PBE-GGA) on crystalline LiZrP2 at its relaxed geometry. Values from VASP.

Structure (Quantum ESPRESSO input):
```
&SYSTEM
  ibrav = 0, nat = 16, ntyp = 3
/
ATOMIC_SPECIES
Li 6.94 Li.upf
Zr 91.22 Zr.upf
P 30.97 P.upf
CELL_PARAMETERS angstrom
6.303 0.000 0.000
0.000 6.303 0.000
0.000 0.000 6.303
ATOMIC_POSITIONS crystal
Li 0.000 0.000 0.000
Li 0.000 0.500 0.500
Li 0.500 0.000 0.500
Li 0.500 0.500 0.000
Zr 0.250 0.250 0.250
Zr 0.250 0.750 0.750
Zr 0.750 0.250 0.750
Zr 0.750 0.750 0.250
P 0.000 0.000 0.500
P 0.000 0.500 0.000
P 0.250 0.250 0.750
P 0.250 0.750 0.250
P 0.500 0.000 0.000
P 0.500 0.500 0.500
P 0.750 0.250 0.250
P 0.750 0.750 0.750
```

Distance to the lowest polymorph of the same formula = 717 meV/atom
Energy of formation from the pure elements = -0.110 eV per atom
Magnetic moment = 0.001 Bohr magnetons per cell
DFT total energy = -5.430 eV/atom


(5)
VASP calculation (PBE-GGA) on crystalline LiZrP2 at its relaxed geometry. Values from VASP.

Structure (Quantum ESPRESSO input):
```
&SYSTEM
  ibrav = 0, nat = 4, ntyp = 3
/
ATOMIC_SPECIES
Li 6.94 Li.upf
Zr 91.22 Zr.upf
P 30.97 P.upf
CELL_PARAMETERS angstrom
4.298 0.000 0.000
0.000 4.298 0.000
0.000 0.000 3.456
ATOMIC_POSITIONS crystal
Li 0.000 0.000 0.000
Zr 0.500 0.500 0.000
P 0.000 0.500 0.500
P 0.500 0.000 0.500
```

Distance to the lowest polymorph of the same formula = 215 meV/atom
Energy of formation from the pure elements = -0.612 eV per atom
Magnetic moment = 0.000 Bohr magnetons per cell
DFT total energy = -5.932 eV/atom


(6)
VASP calculation (PBE-GGA) on crystalline LiZrP2 at its relaxed geometry. Values from VASP.

Structure (Quantum ESPRESSO input):
```
&SYSTEM
  ibrav = 0, nat = 4, ntyp = 3
/
ATOMIC_SPECIES
Li 6.94 Li.upf
Zr 91.22 Zr.upf
P 30.97 P.upf
CELL_PARAMETERS angstrom
2.837 0.000 0.000
0.000 2.837 0.000
0.000 0.000 8.719
ATOMIC_POSITIONS crystal
Li 0.000 0.000 0.000
Zr 0.500 0.500 0.700
P 0.000 0.000 0.484
P 0.500 0.500 0.186
```

Distance to the lowest polymorph of the same formula = 896 meV/atom
Energy of formation from the pure elements = 0.070 eV per atom
Magnetic moment = 0.000 Bohr magnetons per cell
DFT total energy = -5.251 eV/atom


(7)
VASP calculation (PBE-GGA) on crystalline LiZrP2 at its relaxed geometry. Values from VASP.

Structure (Quantum ESPRESSO input):
```
&SYSTEM
  ibrav = 0, nat = 8, ntyp = 3
/
ATOMIC_SPECIES
Li 6.94 Li.upf
Zr 91.22 Zr.upf
P 30.97 P.upf
CELL_PARAMETERS angstrom
4.574 0.000 0.000
0.000 2.858 0.000
0.000 0.000 10.341
ATOMIC_POSITIONS crystal
Li 0.000 0.000 0.000
Li 0.000 0.500 0.500
Zr 0.500 0.000 0.229
Zr 0.500 0.500 0.729
P 0.000 0.000 0.750
P 0.000 0.500 0.250
P 0.500 0.000 0.499
P 0.500 0.500 0.999
```

Distance to the lowest polymorph of the same formula = 232 meV/atom
Energy of formation from the pure elements = -0.595 eV per atom
Magnetic moment = 0.000 Bohr magnetons per cell
DFT total energy = -5.915 eV/atom


(8)
VASP calculation (PBE-GGA) on crystalline Li2ZrP at its relaxed geometry. Values from VASP.

Structure (Quantum ESPRESSO input):
```
&SYSTEM
  ibrav = 0, nat = 16, ntyp = 3
/
ATOMIC_SPECIES
Li 6.94 Li.upf
Zr 91.22 Zr.upf
P 30.97 P.upf
CELL_PARAMETERS angstrom
3.702 0.000 0.000
0.000 3.702 0.000
0.000 0.000 20.685
ATOMIC_POSITIONS crystal
Li 0.218 0.250 0.125
Li 0.250 0.718 0.375
Li 0.250 0.782 0.875
Li 0.282 0.250 0.625
Li 0.718 0.750 0.625
Li 0.750 0.218 0.875
Li 0.750 0.282 0.375
Li 0.782 0.750 0.125
Zr 0.000 0.000 0.500
Zr 0.000 0.500 0.750
Zr 0.500 0.000 0.250
Zr 0.500 0.500 0.000
P 0.000 0.000 0.000
P 0.000 0.500 0.250
P 0.500 0.000 0.750
P 0.500 0.500 0.500
```

Energy of formation from the pure elements = -0.413 eV per atom
Magnetic moment = 0.000 Bohr magnetons per cell
DFT total energy = -4.860 eV/atom


(9)
VASP calculation (PBE-GGA) on crystalline Li2ZrP at its relaxed geometry. Values from VASP.

Structure (Quantum ESPRESSO input):
```
&SYSTEM
  ibrav = 0, nat = 4, ntyp = 3
/
ATOMIC_SPECIES
Li 6.94 Li.upf
Zr 91.22 Zr.upf
P 30.97 P.upf
CELL_PARAMETERS angstrom
2.975 0.000 0.000
0.000 4.083 0.000
0.000 0.000 5.385
ATOMIC_POSITIONS crystal
Li 0.000 0.000 0.212
Li 0.000 0.000 0.788
Zr 0.500 0.500 0.500
P 0.500 0.500 0.000
```

Energy of formation from the pure elements = -0.220 eV per atom
Magnetic moment = 0.000 Bohr magnetons per cell
DFT total energy = -4.666 eV/atom


(10)
VASP calculation (PBE-GGA) on crystalline LiZrP2 at its relaxed geometry. Values from VASP.

Structure (Quantum ESPRESSO input):
```
&SYSTEM
  ibrav = 0, nat = 8, ntyp = 3
/
ATOMIC_SPECIES
Li 6.94 Li.upf
Zr 91.22 Zr.upf
P 30.97 P.upf
CELL_PARAMETERS angstrom
3.868 0.000 0.000
0.000 4.957 0.000
0.000 0.000 7.261
ATOMIC_POSITIONS crystal
Li 0.000 0.000 0.000
Li 0.500 0.500 0.000
Zr 0.000 0.000 0.500
Zr 0.500 0.500 0.500
P 0.000 0.500 0.256
P 0.000 0.500 0.744
P 0.500 0.000 0.256
P 0.500 0.000 0.744
```

Distance to the lowest polymorph of the same formula = 195 meV/atom
Energy of formation from the pure elements = -0.632 eV per atom
Magnetic moment = 0.000 Bohr magnetons per cell
DFT total energy = -5.952 eV/atom


(11)
VASP calculation (PBE-GGA) on crystalline LiPa4 at its relaxed geometry. Values from VASP.

Structure (Quantum ESPRESSO input):
```
&SYSTEM
  ibrav = 0, nat = 5, ntyp = 2
/
ATOMIC_SPECIES
Li 6.94 Li.upf
Pa 231.04 Pa.upf
CELL_PARAMETERS angstrom
4.942 0.000 0.000
0.000 4.942 0.000
0.000 0.000 4.942
ATOMIC_POSITIONS crystal
Li 0.000 0.000 0.000
Pa 0.000 0.000 0.500
Pa 0.000 0.500 0.000
Pa 0.500 0.000 0.000
Pa 0.500 0.500 0.500
```

Energy of formation from the pure elements = 0.884 eV per atom
Magnetic moment = 0.000 Bohr magnetons per cell
DFT total energy = -7.096 eV/atom


(12)
VASP calculation (PBE-GGA) on crystalline Li4Pa at its relaxed geometry. Values from VASP.

Structure (Quantum ESPRESSO input):
```
&SYSTEM
  ibrav = 0, nat = 5, ntyp = 2
/
ATOMIC_SPECIES
Li 6.94 Li.upf
Pa 231.04 Pa.upf
CELL_PARAMETERS angstrom
5.781 0.000 0.000
0.000 5.781 0.000
0.000 0.000 5.781
ATOMIC_POSITIONS crystal
Li 0.000 0.000 0.000
Li 0.000 0.500 0.500
Li 0.500 0.000 0.500
Li 0.500 0.500 0.000
Pa 0.500 0.500 0.500
```

Energy of formation from the pure elements = 1.454 eV per atom
Magnetic moment = 4.311 Bohr magnetons per cell
DFT total energy = -1.976 eV/atom